First-principles (PBE) data for a geometry-optimized HAuSe structure, as listed in Alexandria via LeMat-Bulk.

Summary:
Total DFT energy (no corrections) = -3.43 eV per atom
ρ = 6.91 g cm⁻³
Spin magnetization = 0.0 μB per formula unit

Cell: 5.842 7.308 6.238 Å, 90.00 90.00 90.00°
Atoms (fractional coordinates):
H (0.646, 0.250, 0.113)
H (0.354, 0.750, 0.113)
H (0.646, 0.750, 0.613)
H (0.354, 0.250, 0.613)
Au (0.000, 0.000, 0.327)
Au (0.000, 0.000, 0.827)
Au (0.000, 0.500, 0.827)
Au (0.000, 0.500, 0.327)
Se (0.282, 0.250, 0.843)
Se (0.718, 0.750, 0.843)
Se (0.282, 0.750, 0.343)
Se (0.718, 0.250, 0.343)

First-principles (PBE) data for a geometry-optimized Pm8CoAu2 structure, as listed in Alexandria via LeMat-Bulk.

Summary:
Total DFT energy (no corrections) = -4.98 eV per atom
ρ = 8.58 g cm⁻³
Spin magnetization = 0.0 μB per formula unit

Cell: 5.139 6.992 9.197 Å, 99.87 106.22 90.00°
Atoms (fractional coordinates):
Pm (0.412, 0.557, 0.825)
Pm (0.655, 0.969, 0.309)
Pm (0.796, 0.678, 0.592)
Pm (0.975, 0.217, 0.949)
Pm (0.204, 0.322, 0.408)
Pm (0.345, 0.031, 0.691)
Pm (0.588, 0.443, 0.175)
Pm (0.025, 0.783, 0.051)
Co (0.500, 0.000, 0.000)
Au (0.806, 0.261, 0.612)
Au (0.194, 0.739, 0.388)

First-principles (PBE) data for a geometry-optimized InTeAs2 structure, as listed in Alexandria via LeMat-Bulk.

Summary:
Energy relative to the elements, uncorrected = 0.351 eV per atom
Total DFT energy (no corrections) = -3.44 eV per atom
ρ = 6.64 g cm⁻³
Spin magnetization = 0.0 μB per formula unit

Cell: 6.350 6.350 6.350 Å, 141.58 141.58 55.46°
Atoms (fractional coordinates):
As (0.000, 0.000, 0.000)
As (0.500, 0.500, 0.000)
Te (0.750, 0.250, 0.500)
In (0.250, 0.750, 0.500)

First-principles (PBE) data for a geometry-optimized Ba3In2Sn9Bi structure, as listed in Alexandria via LeMat-Bulk.

Summary:
Total DFT energy (no corrections) = -3.56 eV per atom
ρ = 5.35 g cm⁻³
Spin magnetization = 0.0 μB per formula unit

Cell: 7.110 7.110 13.601 Å, 90.00 90.00 120.00°
Atoms (fractional coordinates):
Ba (0.333, 0.667, 0.768)
Ba (0.000, 0.000, 0.000)
Ba (0.667, 0.333, 0.232)
In (0.333, 0.667, 0.169)
In (0.667, 0.333, 0.831)
Sn (0.861, 0.139, 0.699)
Sn (0.861, 0.722, 0.699)
Sn (0.278, 0.139, 0.699)
Sn (0.722, 0.861, 0.301)
Sn (0.139, 0.278, 0.301)
Sn (0.139, 0.861, 0.301)
Sn (0.500, 0.000, 0.000)
Sn (0.000, 0.500, 0.000)
Sn (0.500, 0.500, 0.000)
Bi (0.000, 0.000, 0.500)

The records above yield density of states at the Fermi level values of 0.0, 11.3, 2.2, 5.2 states/eV/f.u., respectively.